(1)
An optimized crystal structure of V2GaTc2. Source: Alexandria via LeMat-Bulk, functional GGA-PBE.

For the calculated formation energy, the calculation gives 0.07 eV/atom. The calculation puts the volume at 288 Å³/cell.

The space group is C2/c (No. 15) and the conventional cell measures 8.071, 7.449 and 4.798 Å, with angles of 90.00, 90.37 and 90.00 degrees. Symmetry generates all atoms from V at (0.226, 0.087, 0.495), Ga at (0.000, 0.500, 0.250) and Tc at (0.085, 0.200, 0.003).

=====

(2)
An optimized crystal structure of Ba3CaTl2. Source: Alexandria via LeMat-Bulk, functional GGA-PBE.

For the calculated formation energy, the calculation gives -0.27 eV/atom. The calculation puts the volume at 1062 Å³/cell.

The space group is Ibam (No. 72) and the conventional cell measures 7.823, 17.862 and 7.604 Å, with angles of 90.00, 90.00 and 90.00 degrees. Symmetry generates all atoms from Ba at (0.000, 0.000, 0.250), Ba at (0.228, 0.316, 0.000), Ca at (0.000, 0.500, 0.250) and Tl at (0.228, 0.381, 0.500).

=====

(3)
An optimized crystal structure of ReRhCl2. Source: Alexandria via LeMat-Bulk, functional GGA-PBE.

The calculation puts the volume at 167 Å³/cell. For the formation energy from raw total energies, the calculation gives 0.3 eV/f.u.

The space group is Cm (No. 8) and the conventional cell measures 6.818, 3.027 and 8.459 Å, with angles of 90.00, 106.96 and 90.00 degrees. Symmetry generates all atoms from Re at (0.000, 0.000, 0.000), Rh at (0.279, 0.500, 0.174), Cl at (0.071, 0.500, 0.378) and Cl at (0.416, 0.000, 0.773).

=====

It is found that the energy values, taken in the order of the records, are -8.327; -2.355; -5.809 eV per atom.